Computed, not measured: a relaxed structure of Ti2FeP3O12 at the PBE+U level of DFT.

The space group is R-3c (No. 167, hexagonal axes) and the conventional cell measures 8.6956, 8.6956 and 20.7961 Å, with angles of 90.00, 90.00 and 120.00 degrees. Symmetry generates all atoms from Ti at (0.0000, 0.0000, 0.1438), Fe at (0.0000, 0.0000, 0.0000), P at (0.0000, 0.2933, 0.2500), O at (0.0065, 0.1955, 0.3106) and O at (0.0194, 0.1857, 0.9238).

As for the crystal system: trigonal. The value obtained for the total magnetization is 5.011 μB/f.u. The total DFT energy (no corrections) is -7.813 eV/atom.